# 1
Entry from Alexandria via LeMat-Bulk: an optimized crystal structure of BaNd2Rh (PBE).

Computed properties:
- Energy: -20.1 eV for the cell shown
- Energy of formation: -0.331 eV/atom

Lattice parameters (Å, degrees): 4.204 4.204 10.282 78.20 78.20 60.00
Element x y z (fractional)
1 Rh 0.000 0.000 0.000
2 Nd 0.716 0.716 0.851
3 Nd 0.284 0.284 0.149
4 Ba 0.500 0.500 0.500

# 2
Entry from Alexandria via LeMat-Bulk: an optimized crystal structure of AlV3 (PBE).

Computed properties:
- Energy: -31.2 eV for the cell shown
- Energy of formation: -0.022 eV/atom

Lattice parameters (Å, degrees): 2.542 4.971 5.241 118.31 104.03 90.00
Element x y z (fractional)
1 Al 0.000 0.022 0.000
2 V 0.253 0.561 0.506
3 V 0.500 0.528 0.000
4 V 0.747 0.055 0.494

# 3
Entry from Alexandria via LeMat-Bulk: an optimized crystal structure of SbPtC3 (PBE).

Computed properties:
- Energy: -26.0 eV for the cell shown
- ΔE_f (raw): 2.359 eV per atom

Lattice parameters (Å, degrees): 4.100 4.100 4.100 90.00 90.00 90.00
Element x y z (fractional)
1 Sb 0.500 0.500 0.500
2 C 0.000 0.500 0.000
3 C 0.000 0.000 0.500
4 C 0.500 0.000 0.000
5 Pt 0.000 0.000 0.000

# 4
Entry from Alexandria via LeMat-Bulk: an optimized crystal structure of ReAgRh2 (PBE).

Computed properties:
- Energy: -28.3 eV for the cell shown
- Energy of formation: 0.428 eV/atom

Lattice parameters (Å, degrees): 4.416 4.416 4.416 60.00 60.00 60.00
Element x y z (fractional)
1 Re 0.500 0.500 0.500
2 Rh 0.250 0.250 0.250
3 Rh 0.750 0.750 0.750
4 Ag 0.000 0.000 0.000

# 5
Entry from Alexandria via LeMat-Bulk: an optimized crystal structure of NdPu2ZrP4 (PBE).

Computed properties:
- Energy: -73.9 eV for the cell shown
- Energy of formation: -1.288 eV/atom

Lattice parameters (Å, degrees): 3.969 6.886 6.840 109.46 90.00 90.00
Element x y z (fractional)
1 Nd 0.500 0.500 0.000
2 Pu 0.500 0.000 0.500
3 Pu 0.000 0.500 0.500
4 Zr 0.000 0.000 0.000
5 P 0.500 0.236 0.245
6 P 0.500 0.764 0.755
7 P 0.000 0.233 0.746
8 P 0.000 0.767 0.254

# 6
Entry from Alexandria via LeMat-Bulk: an optimized crystal structure of CaZr2MoH (PBE).

Computed properties:
- Energy: -31.8 eV for the cell shown

Lattice parameters (Å, degrees): 4.640 4.209 4.640 90.00 90.00 90.00
Element x y z (fractional)
1 H 0.000 0.000 0.000
2 Mo 0.500 0.500 0.500
3 Ca 0.000 0.500 0.000
4 Zr 0.000 0.000 0.500
5 Zr 0.500 0.000 0.000

Please write out number 2 again, unchanged.
Entry from Alexandria via LeMat-Bulk: an optimized crystal structure of AlV3 (PBE).

Computed properties:
- Energy: -31.2 eV for the cell shown
- Energy of formation: -0.022 eV/atom

Lattice parameters (Å, degrees): 2.542 4.971 5.241 118.31 104.03 90.00
Element x y z (fractional)
1 Al 0.000 0.022 0.000
2 V 0.253 0.561 0.506
3 V 0.500 0.528 0.000
4 V 0.747 0.055 0.494

Look up the energy of the first one. -20.1 eV for the cell shown